# PBE RbGaBi, relaxed
# Total energy ... -2.75 eV per atom
data_RbGaBi
_chemical_formula_sum 'Rb1 Ga1 Bi1'
_space_group_name_H-M_alt 'P 1'
_space_group_IT_number 1
_space_group_name_Hall 'P 1'
_cell_length_a 7.3987
_cell_length_b 7.3987
_cell_length_c 7.3987
_cell_angle_alpha 149.76
_cell_angle_beta 149.76
_cell_angle_gamma 43.30
loop_
_atom_site_label
_atom_site_fract_x
_atom_site_fract_y
_atom_site_fract_z
Rb1 0.0000 0.0000 0.0000
Ga1 0.3132 0.3132 0.0000
Bi1 0.7047 0.7047 0.0000

# PBE LaCuOs2, relaxed
# Energy above the most stable polymorph in this dataset ... 0.0000 eV per atom
data_LaCuOs2
_chemical_formula_sum 'La1 Cu1 Os2'
_space_group_name_H-M_alt 'P 1'
_space_group_IT_number 1
_space_group_name_Hall 'P 1'
_cell_length_a 2.8622
_cell_length_b 3.6777
_cell_length_c 6.9956
_cell_angle_alpha 90.00
_cell_angle_beta 90.00
_cell_angle_gamma 90.00
loop_
_atom_site_label
_atom_site_fract_x
_atom_site_fract_y
_atom_site_fract_z
La1 0.0000 0.0000 0.0000
Cu1 0.5000 0.5000 0.6978
Os1 0.0000 0.0000 0.4870
Os2 0.5000 0.5000 0.3283

# PBE Be2InCl, relaxed
# Raw formation energy ... 0.394 eV per atom
# Energy above the most stable polymorph in this dataset ... 0.2004 eV per atom
data_Be2InCl
_chemical_formula_sum 'Be2 In1 Cl1'
_space_group_name_H-M_alt 'P 1'
_space_group_IT_number 1
_space_group_name_Hall 'P 1'
_cell_length_a 4.1379
_cell_length_b 4.6511
_cell_length_c 4.6538
_cell_angle_alpha 90.00
_cell_angle_beta 90.89
_cell_angle_gamma 90.00
loop_
_atom_site_label
_atom_site_fract_x
_atom_site_fract_y
_atom_site_fract_z
Be1 0.2464 0.0000 0.4977
Be2 0.7536 0.0000 0.5023
In1 0.5000 0.5000 0.5000
Cl1 0.0000 0.5000 0.0000

Repeat the second record exactly.
# PBE LaCuOs2, relaxed
# Energy above the most stable polymorph in this dataset ... 0.0000 eV per atom
data_LaCuOs2
_chemical_formula_sum 'La1 Cu1 Os2'
_space_group_name_H-M_alt 'P 1'
_space_group_IT_number 1
_space_group_name_Hall 'P 1'
_cell_length_a 2.8622
_cell_length_b 3.6777
_cell_length_c 6.9956
_cell_angle_alpha 90.00
_cell_angle_beta 90.00
_cell_angle_gamma 90.00
loop_
_atom_site_label
_atom_site_fract_x
_atom_site_fract_y
_atom_site_fract_z
La1 0.0000 0.0000 0.0000
Cu1 0.5000 0.5000 0.6978
Os1 0.0000 0.0000 0.4870
Os2 0.5000 0.5000 0.3283

- What is the formula in the third record?
  Be2InCl